Arrangement i

The following is a GGA-PBE calculation of a geometry-optimized Tb2Dy4In structure, from the Alexandria database.

Computed properties:
* DOS at the Fermi energy: 19.97 states/eV/cell
* symmetry: Fdd2
* spin magnetization: 0.0000 μB/atom

The structure in CIF format:
```
data_Tb2Dy4In
_cell_length_a 6.443
_cell_length_b 6.443
_cell_length_c 11.590
_cell_angle_alpha 101.99
_cell_angle_beta 101.99
_cell_angle_gamma 104.64
_symmetry_space_group_name_H-M 'P 1'
_symmetry_Int_Tables_number 1
loop_
_symmetry_equiv_pos_as_xyz
'x,y,z'
loop_
_atom_site_label
_atom_site_fract_x
_atom_site_fract_y
_atom_site_fract_z
In1 0.651 0.651 0.000
In2 0.901 0.401 0.500
Tb1 0.209 0.778 0.024
Tb2 0.028 0.959 0.524
Tb3 0.753 0.185 0.976
Tb4 0.435 0.503 0.476
Dy1 0.287 0.711 0.730
Dy2 0.215 0.235 0.838
Dy3 0.961 0.037 0.230
Dy4 0.981 0.557 0.270
Dy5 0.485 0.965 0.338
Dy6 0.807 0.731 0.770
Dy7 0.627 0.147 0.662
Dy8 0.397 0.377 0.162
```

---

Arrangement ii

The following is a GGA-PBE calculation of a geometry-optimized Tb2Dy4In structure, from the Alexandria database.

Computed properties:
* DOS at the Fermi energy: 19.01 states/eV/cell
* symmetry: P2_1/m
* spin magnetization: 0.0000 μB/atom

The structure in CIF format:
```
data_Tb2Dy4In
_cell_length_a 5.737
_cell_length_b 6.667
_cell_length_c 11.580
_cell_angle_alpha 90.00
_cell_angle_beta 105.09
_cell_angle_gamma 90.00
_symmetry_space_group_name_H-M 'P 1'
_symmetry_Int_Tables_number 1
loop_
_symmetry_equiv_pos_as_xyz
'x,y,z'
loop_
_atom_site_label
_atom_site_fract_x
_atom_site_fract_y
_atom_site_fract_z
Dy1 0.845 0.250 0.567
Dy2 0.372 0.992 0.713
Dy3 0.628 0.492 0.287
Dy4 0.980 0.750 0.872
Dy5 0.020 0.250 0.128
Dy6 0.372 0.508 0.713
Dy7 0.155 0.750 0.433
Dy8 0.628 0.008 0.287
Tb1 0.436 0.250 0.977
Tb2 0.741 0.750 0.574
Tb3 0.259 0.250 0.426
Tb4 0.564 0.750 0.023
In1 0.126 0.750 0.161
In2 0.874 0.250 0.839
```

---

What is the most stable structure shown above? It is arrangement i.